w) # Sr2PaPt3 PBE-GGA relaxed
data_Sr2PaPt3
_chemical_formula_sum 'Sr8 Pa4 Pt12'
_cell_length_a 7.438
_cell_length_b 7.438
_cell_length_c 13.259
_cell_angle_alpha 101.03
_cell_angle_beta 101.03
_cell_angle_gamma 108.54
_space_group_name_H-M_alt 'P 1'
_space_group_IT_number 1
_space_group_name_Hall 'P 1'
loop_
_atom_site_label
_atom_site_type_symbol
_atom_site_fract_x
_atom_site_fract_y
_atom_site_fract_z
_atom_site_occupancy
Sr1 Sr 0.997 0.497 0.995 1
Sr2 Sr 0.670 0.170 0.339 1
Sr3 Sr 0.503 0.003 0.005 1
Sr4 Sr 0.253 0.253 0.505 1
Sr5 Sr 0.830 0.330 0.661 1
Sr6 Sr 0.420 0.420 0.839 1
Sr7 Sr 0.580 0.580 0.161 1
Sr8 Sr 0.747 0.747 0.495 1
Pt1 Pt 0.305 0.841 0.182 1
Pt2 Pt 0.945 0.909 0.318 1
Pt3 Pt 0.591 0.627 0.682 1
Pt4 Pt 0.659 0.123 0.818 1
Pt5 Pt 0.039 0.539 0.500 1
Pt6 Pt 0.789 0.789 0.000 1
Pt7 Pt 0.461 0.961 0.500 1
Pt8 Pt 0.373 0.409 0.318 1
Pt9 Pt 0.159 0.695 0.818 1
Pt10 Pt 0.211 0.211 0.000 1
Pt11 Pt 0.877 0.341 0.182 1
Pt12 Pt 0.091 0.055 0.682 1
Pa1 Pa 0.084 0.084 0.167 1
Pa2 Pa 0.166 0.666 0.333 1
Pa3 Pa 0.916 0.916 0.833 1
Pa4 Pa 0.334 0.834 0.667 1
# D(E_F)   14.9 states/eV per cell
# Density   10.02 g/cm³



x) # Sr2PaPt3 PBE-GGA relaxed
data_Sr2PaPt3
_chemical_formula_sum 'Sr4 Pa2 Pt6'
_cell_length_a 5.434
_cell_length_b 8.139
_cell_length_c 8.139
_cell_angle_alpha 67.60
_cell_angle_beta 90.00
_cell_angle_gamma 90.00
_space_group_name_H-M_alt 'P 1'
_space_group_IT_number 1
_space_group_name_Hall 'P 1'
loop_
_atom_site_label
_atom_site_type_symbol
_atom_site_fract_x
_atom_site_fract_y
_atom_site_fract_z
_atom_site_occupancy
Sr1 Sr 0.750 0.177 0.510 1
Sr2 Sr 0.250 0.510 0.177 1
Sr3 Sr 0.750 0.490 0.823 1
Sr4 Sr 0.250 0.823 0.490 1
Pt1 Pt 0.000 0.846 0.846 1
Pt2 Pt 0.000 0.154 0.154 1
Pt3 Pt 0.750 0.582 0.418 1
Pt4 Pt 0.500 0.154 0.154 1
Pt5 Pt 0.500 0.846 0.846 1
Pt6 Pt 0.250 0.418 0.582 1
Pa1 Pa 0.750 0.867 0.133 1
Pa2 Pa 0.250 0.133 0.867 1
# D(E_F)   7.3 states/eV per cell
# Density   9.89 g/cm³



Energy ordering: w) at the bottom, the next structure 0.036 eV/atom above.